Record 1
The following is a DFT calculation (PBE) of a relaxed structure of SmDy5Ni2.

Cell lengths 3.6405, 6.7725, 18.3346 Å; angles 90.00, 90.00, 105.59 degrees
Fractional positions:
1 Ni 0.2898 0.5796 0.8643
2 Ni 0.7102 0.4204 0.1357
3 Ni 0.7102 0.4204 0.3643
4 Ni 0.2898 0.5796 0.6357
5 Dy 0.3273 0.6546 0.0589
6 Dy 0.4245 0.8490 0.7500
7 Dy 0.9373 0.8747 0.5884
8 Dy 0.0627 0.1253 0.4116
9 Dy 0.6727 0.3454 0.5589
10 Dy 0.0627 0.1253 0.0884
11 Dy 0.6727 0.3454 0.9411
12 Dy 0.9373 0.8747 0.9116
13 Dy 0.3273 0.6546 0.4411
14 Dy 0.5755 0.1510 0.2500
15 Sm 0.6992 0.3984 0.7500
16 Sm 0.3008 0.6016 0.2500

Calculated values
- Formation energy: -145.6 meV per atom
- Space-group type: Cmcm (63)

=====

Record 2
The following is a DFT calculation (PBE) of a relaxed structure of CsErTlSe3.

Cell lengths 4.1885, 9.3355, 11.4858 Å; angles 109.65, 90.00, 90.00 degrees
Fractional positions:
1 Cs 0.7500 0.7754 0.7364
2 Cs 0.2500 0.2246 0.2636
3 Tl 0.2500 0.1317 0.5809
4 Tl 0.7500 0.8683 0.4191
5 Se 0.2500 0.6620 0.4027
6 Se 0.2500 0.5751 0.8854
7 Se 0.7500 0.3380 0.5973
8 Se 0.7500 0.4249 0.1146
9 Se 0.2500 0.1324 0.8212
10 Se 0.7500 0.8676 0.1788
11 Er 0.2500 0.6414 0.1423
12 Er 0.7500 0.3586 0.8577

Calculated values
- Space-group type: P2_1/m (11)
- Formation energy without anion corrections: -1.1890 eV/atom

=====

Per-record DOS(E_F), states/eV per atom: 1.4116, 0.4738
Per-record density, g/cm³: 8.2, 5.8
Per-record total magnetic moment, μB/cell: 0.000, 0.000